Entry 1:
Below is an optimized crystal structure of MnInIr2, with properties calculated at the PBE level.

Electronic total energy in Ry/atom: -0.5429
Crystal system: tetragonal
Total moment in μB/atom: 0.771

The structure in CIF format:
```
data_MnInIr2
_chemical_formula_sum 'Mn2 In2 Ir4'
_cell_length_a 3.917
_cell_length_b 3.917
_cell_length_c 8.148
_cell_angle_alpha 90.00
_cell_angle_beta 90.00
_cell_angle_gamma 90.00
_symmetry_space_group_name_H-M 'I -4 m 2'
_symmetry_Int_Tables_number 119
_symmetry_space_group_name_Hall 'I -4 -2'
loop_
_atom_site_label
_atom_site_fract_x
_atom_site_fract_y
_atom_site_fract_z
Mn1 0.000 0.000 0.000
In1 0.000 0.500 0.750
Ir1 0.000 0.000 0.500
Ir2 0.000 0.500 0.250
```

=====

Entry 2:
Below is an optimized crystal structure of Mn2InIr2, with properties calculated at the PBE level.

Polymorph energy (0 for the lowest one) in meV/atom: 39
Electronic total energy in Ry/atom: -0.5584
Crystal system: tetragonal
Total moment in μB/atom: 0.000

The structure in CIF format:
```
data_Mn2InIr2
_chemical_formula_sum 'Mn4 In2 Ir4'
_cell_length_a 7.339
_cell_length_b 7.339
_cell_length_c 2.729
_cell_angle_alpha 90.00
_cell_angle_beta 90.00
_cell_angle_gamma 90.00
_symmetry_space_group_name_H-M 'P 4/m b m'
_symmetry_Int_Tables_number 127
_symmetry_space_group_name_Hall '-P 4 2ab'
loop_
_atom_site_label
_atom_site_fract_x
_atom_site_fract_y
_atom_site_fract_z
Mn1 0.166 0.334 0.000
In1 0.000 0.000 0.500
Ir1 0.128 0.628 0.500
```

=====

Entry 3:
Below is an optimized crystal structure of MnInIr2, with properties calculated at the PBE level.

Electronic total energy in Ry/atom: -0.5422
Crystal system: orthorhombic
Total moment in μB/atom: 0.884

The structure in CIF format:
```
data_MnInIr2
_chemical_formula_sum 'Mn1 In1 Ir2'
_cell_length_a 2.873
_cell_length_b 3.916
_cell_length_c 5.631
_cell_angle_alpha 90.00
_cell_angle_beta 90.00
_cell_angle_gamma 90.00
_symmetry_space_group_name_H-M 'P m m 2'
_symmetry_Int_Tables_number 25
loop_
_symmetry_equiv_pos_as_xyz
'x,y,z'
'-x,-y,z'
'-x,y,z'
'x,-y,z'
loop_
_atom_site_label
_atom_site_fract_x
_atom_site_fract_y
_atom_site_fract_z
Mn1 0.000 0.000 0.000
In1 0.500 0.500 0.299
Ir1 0.000 0.000 0.545
Ir2 0.500 0.500 0.812
```

=====

Entry 4:
Below is an optimized crystal structure of MnInIr2, with properties calculated at the PBE level.

Electronic total energy in Ry/atom: -0.5261
Crystal system: trigonal
Total moment in μB/atom: 0.443

The structure in CIF format:
```
data_MnInIr2
_chemical_formula_sum 'Mn3 In3 Ir6'
_cell_length_a 2.8535
_cell_length_b 2.8535
_cell_length_c 26.4602
_cell_angle_alpha 90.00
_cell_angle_beta 90.00
_cell_angle_gamma 120.00
_symmetry_space_group_name_H-M 'R 3 m'
_symmetry_Int_Tables_number 160
_symmetry_space_group_name_Hall 'R 3 -2"'
loop_
_atom_site_label
_atom_site_fract_x
_atom_site_fract_y
_atom_site_fract_z
Mn1 0.0000 0.0000 0.0000
In1 0.0000 0.0000 0.2467
Ir1 0.0000 0.0000 0.4923
Ir2 0.0000 0.0000 0.7415
```